A relaxed structure of Th3P2, computed with PBE-GGA.

Calculated values
Symmetry   R-3c (167)
ΔE_f   -1.043 eV per atom
Total DFT energy (no corrections)   -7.659 eV/atom

a = 7.8018 Å, b = 7.8018 Å, c = 7.8018 Å
α = 53.60°, β = 53.60°, γ = 53.60°
Closest atoms and distances in Å follow each position.
Fractional coordinates of all 10 atoms:
Th1 0.0819 0.7500 0.4181  4 P 2.85-2.90
Th2 0.2500 0.5819 0.9181  4 P 2.85-2.90
Th3 0.4181 0.0819 0.7500  4 P 2.85-2.90
Th4 0.5819 0.9181 0.2500  4 P 2.85-2.90
Th5 0.7500 0.4181 0.0819  4 P 2.85-2.90
Th6 0.9181 0.2500 0.5819  4 P 2.85-2.90
P1 0.1643 0.1643 0.1643  6 Th 2.85-2.90
P2 0.3357 0.3357 0.3357  6 Th 2.85-2.90
P3 0.6643 0.6643 0.6643  6 Th 2.85-2.90
P4 0.8357 0.8357 0.8357  6 Th 2.85-2.90


A relaxed structure of LaBrCl, computed with PBE-GGA.

Calculated values
Symmetry   P3m1 (156)
Energy relative to the elements, uncorrected   -1892.6 meV/atom
Total DFT energy (no corrections)   -4.708 eV/atom

a = 4.0606 Å, b = 4.0606 Å, c = 7.4120 Å
α = 90.00°, β = 90.00°, γ = 120.00°
Closest atoms and distances in Å follow each position.
Fractional coordinates of all 3 atoms:
La1 0.0000 0.0000 0.0000  3 Cl 2.91, 3 Br 3.04
Br1 0.3333 0.6667 0.2607  3 La 3.04
Cl1 0.6667 0.3333 0.7671  3 La 2.91


A relaxed structure of SrIrRu2, computed with PBE-GGA.

Calculated values
Symmetry   Pmm2 (25)
ΔE_f   0.403 eV per atom
ΔE to the lowest computed polymorph   0.006 eV/atom
Total DFT energy (no corrections)   -6.870 eV/atom

a = 2.8128 Å, b = 3.7303 Å, c = 7.1108 Å
α = 90.00°, β = 90.00°, γ = 90.00°
Closest atoms and distances in Å follow each position.
Fractional coordinates of all 4 atoms:
Sr1 0.0000 0.0000 0.0000  2 Sr 2.81
Ir1 0.5000 0.5000 0.3093  5 Ru 2.58-2.70, 2 Ir 2.81
Ru1 0.0000 0.0000 0.4992  6 Ru 2.64-2.81, 4 Ir 2.70
Ru2 0.5000 0.5000 0.6724  1 Ir 2.58, 6 Ru 2.64-2.81


A relaxed structure of PrCd8Pd4, computed with PBE-GGA.

Calculated values
Symmetry   I4/mmm (139)
ΔE_f   -0.365 eV per atom
Total DFT energy (no corrections)   -2.894 eV/atom

a = 7.3878 Å, b = 7.3878 Å, c = 7.3878 Å
α = 98.62°, β = 98.62°, γ = 134.43°
Closest atoms and distances in Å follow each position.
Fractional coordinates of all 13 atoms:
Pr1 0.0000 0.0000 0.0000  12 Cd 3.28-3.55
Cd1 0.0000 0.3407 0.3407  4 Pd 2.93, 5 Cd 3.07-3.12, 1 Pr 3.28
Cd2 0.0000 0.6593 0.6593  4 Pd 2.93, 5 Cd 3.07-3.12, 1 Pr 3.28
Cd3 0.2817 0.5000 0.7817  4 Pd 2.82, 6 Cd 2.97-3.12
Cd4 0.3407 0.0000 0.3407  4 Pd 2.93, 5 Cd 3.07-3.12, 1 Pr 3.28
Cd5 0.5000 0.2817 0.7817  4 Pd 2.82, 6 Cd 2.97-3.12
Cd6 0.5000 0.7183 0.2183  4 Pd 2.82, 6 Cd 2.97-3.12
Cd7 0.6593 0.0000 0.6593  4 Pd 2.93, 5 Cd 3.07-3.12, 1 Pr 3.28
Cd8 0.7183 0.5000 0.2183  4 Pd 2.82, 6 Cd 2.97-3.12
Pd1 0.0000 0.0000 0.5000  8 Cd 2.82-2.93, 2 Pd 2.86
Pd2 0.0000 0.5000 0.0000  8 Cd 2.82-2.93, 2 Pd 2.86
Pd3 0.5000 0.0000 0.0000  8 Cd 2.82-2.93, 2 Pd 2.86
Pd4 0.5000 0.5000 0.5000  8 Cd 2.82-2.93, 2 Pd 2.86


A relaxed structure of Ba5Pt, computed with PBE-GGA.

Calculated values
Symmetry   Pmma (51)
ΔE_f   -0.268 eV per atom
ΔE to the lowest computed polymorph   0.000 eV/atom
Total DFT energy (no corrections)   -2.877 eV/atom

a = 12.3649 Å, b = 4.6611 Å, c = 10.7275 Å
α = 90.00°, β = 90.00°, γ = 90.00°
Closest atoms and distances in Å follow each position.
Fractional coordinates of all 12 atoms:
Ba1 0.0000 0.0000 0.0000  2 Pt 3.58, 4 Ba 3.90
Ba2 0.0877 0.5000 0.3054  2 Pt 3.41
Ba3 0.2500 0.0000 0.6158  12 Ba 4.36-4.86, 1 Pt 4.80
Ba4 0.2500 0.5000 0.9590  2 Pt 3.23
Ba5 0.4123 0.5000 0.3054  2 Pt 3.41
Ba6 0.5000 0.0000 0.0000  2 Pt 3.58, 4 Ba 3.90
Ba7 0.5877 0.5000 0.6946  2 Pt 3.41
Ba8 0.7500 0.0000 0.3842  12 Ba 4.36-4.86, 1 Pt 4.80
Ba9 0.7500 0.5000 0.0410  2 Pt 3.23
Ba10 0.9123 0.5000 0.6946  2 Pt 3.41
Pt1 0.2500 0.0000 0.1681  8 Ba 3.23-3.58
Pt2 0.7500 0.0000 0.8319  8 Ba 3.23-3.58


A relaxed structure of Li3Pm3TiSe8, computed with PBE-GGA.

Calculated values
Symmetry   R-3m (166)
Energy relative to the elements, uncorrected   -1529.0 meV/atom
Total DFT energy (no corrections)   -5.247 eV/atom

a = 8.0190 Å, b = 8.0190 Å, c = 8.0190 Å
α = 61.43°, β = 61.43°, γ = 61.43°
Closest atoms and distances in Å follow each position.
Fractional coordinates of all 15 atoms:
Li1 0.0000 0.5000 0.5000  6 Se 2.81-2.82
Li2 0.5000 0.0000 0.5000  6 Se 2.81-2.82
Li3 0.5000 0.5000 0.0000  6 Se 2.81-2.82
Pm1 0.0000 0.0000 0.5000  6 Se 2.91-2.94
Pm2 0.0000 0.5000 0.0000  6 Se 2.91-2.94
Pm3 0.5000 0.0000 0.0000  6 Se 2.91-2.94
Ti1 0.5000 0.5000 0.5000  6 Se 2.64
Se1 0.2543 0.2543 0.2543  3 Li 2.82, 3 Pm 2.91
Se2 0.2700 0.2700 0.7199  1 Ti 2.64, 2 Li 2.81, 2 Pm 2.94
Se3 0.2700 0.7199 0.2700  1 Ti 2.64, 2 Li 2.81, 2 Pm 2.94
Se4 0.2801 0.7300 0.7300  1 Ti 2.64, 2 Li 2.81, 2 Pm 2.94
Se5 0.7199 0.2700 0.2700  1 Ti 2.64, 2 Li 2.81, 2 Pm 2.94
Se6 0.7300 0.2801 0.7300  1 Ti 2.64, 2 Li 2.81, 2 Pm 2.94
Se7 0.7300 0.7300 0.2801  1 Ti 2.64, 2 Li 2.81, 2 Pm 2.94
Se8 0.7457 0.7457 0.7457  3 Li 2.82, 3 Pm 2.91


A relaxed structure of YRhPb2, computed with PBE-GGA.

Calculated values
Symmetry   F-43m (216)
ΔE_f   -0.200 eV per atom
Total DFT energy (no corrections)   -5.508 eV/atom

a = 7.2469 Å, b = 7.2469 Å, c = 7.2469 Å
α = 90.00°, β = 90.00°, γ = 90.00°
Closest atoms and distances in Å follow each position.
Fractional coordinates of all 16 atoms:
Y1 0.0000 0.0000 0.0000  4 Rh 3.14, 4 Pb 3.14
Y2 0.0000 0.5000 0.5000  4 Pb 3.14, 4 Rh 3.14
Y3 0.5000 0.0000 0.5000  4 Pb 3.14, 4 Rh 3.14
Y4 0.5000 0.5000 0.0000  4 Pb 3.14, 4 Rh 3.14
Rh1 0.2500 0.2500 0.7500  4 Pb 3.14, 4 Y 3.14
Rh2 0.2500 0.7500 0.2500  4 Pb 3.14, 4 Y 3.14
Rh3 0.7500 0.2500 0.2500  4 Pb 3.14, 4 Y 3.14
Rh4 0.7500 0.7500 0.7500  4 Y 3.14, 4 Pb 3.14
Pb1 0.0000 0.0000 0.5000  4 Pb 3.14, 4 Rh 3.14
Pb2 0.0000 0.5000 0.0000  4 Pb 3.14, 4 Rh 3.14
Pb3 0.2500 0.2500 0.2500  4 Pb 3.14, 4 Y 3.14
Pb4 0.2500 0.7500 0.7500  4 Pb 3.14, 4 Y 3.14
Pb5 0.5000 0.0000 0.0000  4 Pb 3.14, 4 Rh 3.14
Pb6 0.5000 0.5000 0.5000  4 Pb 3.14, 4 Rh 3.14
Pb7 0.7500 0.2500 0.7500  4 Pb 3.14, 4 Y 3.14
Pb8 0.7500 0.7500 0.2500  4 Pb 3.14, 4 Y 3.14


A relaxed structure of Hf2HRh, computed with PBE-GGA.

Calculated values
Symmetry   I-42d (122)
ΔE to the lowest computed polymorph   0.160 eV/atom
Total DFT energy (no corrections)   -8.072 eV/atom

a = 6.1377 Å, b = 6.1377 Å, c = 6.5712 Å
α = 90.00°, β = 90.00°, γ = 90.00°
Closest atoms and distances in Å follow each position.
Fractional coordinates of all 16 atoms:
Hf1 0.1793 0.7500 0.1250  2 H 2.06
Hf2 0.2500 0.1793 0.8750  2 H 2.06
Hf3 0.2500 0.3207 0.3750  2 H 2.06
Hf4 0.3207 0.7500 0.6250  2 H 2.06
Hf5 0.6793 0.2500 0.6250  2 H 2.06
Hf6 0.7500 0.6793 0.3750  2 H 2.06
Hf7 0.7500 0.8207 0.8750  2 H 2.06
Hf8 0.8207 0.2500 0.1250  2 H 2.06
H1 0.0000 0.0000 0.0000  4 Hf 2.06
H2 0.0000 0.5000 0.2500  4 Hf 2.06
H3 0.5000 0.0000 0.7500  4 Hf 2.06
H4 0.5000 0.5000 0.5000  4 Hf 2.06
Rh1 0.0000 0.0000 0.5000  4 Hf 2.63
Rh2 0.0000 0.5000 0.7500  4 Hf 2.63
Rh3 0.5000 0.0000 0.2500  4 Hf 2.63
Rh4 0.5000 0.5000 0.0000  4 Hf 2.63


A relaxed structure of LuBRu2, computed with PBE-GGA.

Calculated values
Symmetry   R-3m (166)
ΔE_f   -0.183 eV per atom
Total DFT energy (no corrections)   -7.620 eV/atom

a = 3.1954 Å, b = 3.1954 Å, c = 20.3263 Å
α = 90.00°, β = 90.00°, γ = 120.00°
Closest atoms and distances in Å follow each position.
Fractional coordinates of all 12 atoms:
Lu1 0.0000 0.0000 0.0000  6 Ru 2.92, 6 Lu 3.20
Lu2 0.3333 0.6667 0.6667  6 Ru 2.92, 6 Lu 3.20
Lu3 0.6667 0.3333 0.3333  6 Ru 2.92, 6 Lu 3.20
B1 0.0000 0.0000 0.5000  6 Ru 2.16
B2 0.3333 0.6667 0.1667  6 Ru 2.16
B3 0.6667 0.3333 0.8333  6 Ru 2.16
Ru1 0.0000 0.0000 0.2220  3 B 2.16
Ru2 0.0000 0.0000 0.7780  3 B 2.16
Ru3 0.3333 0.6667 0.4446  3 B 2.16
Ru4 0.3333 0.6667 0.8887  3 B 2.16
Ru5 0.6667 0.3333 0.1113  3 B 2.16
Ru6 0.6667 0.3333 0.5554  3 B 2.16


A relaxed structure of Cd2P3Br, computed with PBE-GGA.

Calculated values
Symmetry   C2/c (15)
Energy relative to the elements, uncorrected   -302.3 meV/atom
Total DFT energy (no corrections)   -3.591 eV/atom

a = 6.1685 Å, b = 6.1685 Å, c = 7.6360 Å
α = 96.71°, β = 96.71°, γ = 96.62°
Closest atoms and distances in Å follow each position.
Fractional coordinates of all 12 atoms:
Cd1 0.0989 0.3949 0.2846  3 P 2.58-2.67, 1 Br 2.89
Cd2 0.3949 0.0989 0.7846  3 P 2.58-2.67, 1 Br 2.89
Cd3 0.6051 0.9011 0.2154  3 P 2.58-2.67, 1 Br 2.89
Cd4 0.9011 0.6051 0.7154  3 P 2.58-2.67, 1 Br 2.89
P1 0.0674 0.1593 0.9642  2 P 2.20-2.21
P2 0.1593 0.0674 0.4642  2 P 2.20-2.21
P3 0.1952 0.8048 0.2500  2 P 2.21
P4 0.8048 0.1952 0.7500  2 P 2.21
P5 0.8407 0.9326 0.5358  2 P 2.20-2.21
P6 0.9326 0.8407 0.0358  2 P 2.20-2.21
Br1 0.3743 0.6257 0.7500  2 Cd 2.89
Br2 0.6257 0.3743 0.2500  2 Cd 2.89


A relaxed structure of TbNpRh2, computed with PBE-GGA.

Calculated values
Symmetry   Fm-3m (225)
ΔE_f   -0.486 eV per atom
ΔE to the lowest computed polymorph   0.011 eV/atom
Total DFT energy (no corrections)   -8.555 eV/atom

a = 6.8487 Å, b = 6.8487 Å, c = 6.8487 Å
α = 90.00°, β = 90.00°, γ = 90.00°
Closest atoms and distances in Å follow each position.
Fractional coordinates of all 16 atoms:
Tb1 0.0000 0.0000 0.0000  8 Rh 2.97
Tb2 0.0000 0.5000 0.5000  8 Rh 2.97
Tb3 0.5000 0.0000 0.5000  8 Rh 2.97
Tb4 0.5000 0.5000 0.0000  8 Rh 2.97
Np1 0.0000 0.0000 0.5000  8 Rh 2.97
Np2 0.0000 0.5000 0.0000  8 Rh 2.97
Np3 0.5000 0.0000 0.0000  8 Rh 2.97
Np4 0.5000 0.5000 0.5000  8 Rh 2.97
Rh1 0.2500 0.2500 0.2500  4 Tb 2.97, 4 Np 2.97
Rh2 0.2500 0.2500 0.7500  4 Np 2.97, 4 Tb 2.97
Rh3 0.2500 0.7500 0.2500  4 Np 2.97, 4 Tb 2.97
Rh4 0.2500 0.7500 0.7500  4 Tb 2.97, 4 Np 2.97
Rh5 0.7500 0.2500 0.2500  4 Np 2.97, 4 Tb 2.97
Rh6 0.7500 0.2500 0.7500  4 Tb 2.97, 4 Np 2.97
Rh7 0.7500 0.7500 0.2500  4 Tb 2.97, 4 Np 2.97
Rh8 0.7500 0.7500 0.7500  4 Np 2.97, 4 Tb 2.97


A relaxed structure of SiIrRuI2, computed with PBE-GGA.

Calculated values
Symmetry   P4/mmm (123)
Energy relative to the elements, uncorrected   1142.1 meV/atom
Total DFT energy (no corrections)   -4.190 eV/atom

a = 5.5928 Å, b = 5.5928 Å, c = 4.4656 Å
α = 90.00°, β = 90.00°, γ = 90.00°
Closest atoms and distances in Å follow each position.
Fractional coordinates of all 5 atoms:
Si1 0.0000 0.0000 0.0000  2 Ir 2.23
Ir1 0.0000 0.0000 0.5000  2 Si 2.23
Ru1 0.5000 0.5000 0.0000  8 I 3.58, 4 Si 3.95
I1 0.0000 0.5000 0.5000  2 Ir 2.80
I2 0.5000 0.0000 0.5000  2 Ir 2.80


A relaxed structure of CdNiRu2, computed with PBE-GGA.

Calculated values
Symmetry   C2/m (12)
ΔE_f   0.288 eV per atom
Total DFT energy (no corrections)   -6.024 eV/atom

a = 10.5778 Å, b = 2.7732 Å, c = 4.4258 Å
α = 90.00°, β = 114.44°, γ = 90.00°
Closest atoms and distances in Å follow each position.
Fractional coordinates of all 8 atoms:
Cd1 0.0000 0.0000 0.0000  4 Ni 2.61, 2 Cd 2.77
Cd2 0.5000 0.5000 0.0000  4 Ni 2.61, 2 Cd 2.77
Ni1 0.0000 0.5000 0.5000  4 Ru 2.51, 4 Cd 2.61, 2 Ni 2.77
Ni2 0.5000 0.0000 0.5000  4 Ru 2.51, 4 Cd 2.61, 2 Ni 2.77
Ru1 0.2178 0.0000 0.7178  2 Ni 2.51, 6 Ru 2.68-2.77
Ru2 0.2822 0.5000 0.2822  2 Ni 2.51, 6 Ru 2.68-2.77
Ru3 0.7178 0.5000 0.7178  2 Ni 2.51, 6 Ru 2.68-2.77
Ru4 0.7822 0.0000 0.2822  2 Ni 2.51, 6 Ru 2.68-2.77